The following is a PBE calculation of a relaxed Li2AcPaO6 crystal, from the Alexandria database.

The mass density comes out at 6.3 g/cm3. The total energy comes out at -7.2785 eV/atom. The value obtained for the formation energy from raw total energies is -2.56 eV/atom. The value obtained for the density of states at the Fermi level is 5.011 states/eV per cell.

extended XYZ file:
```
10
Lattice="-1.890 -2.787 4.355 3.519 -2.601 3.341 0.980 2.915 5.773" Properties=species:S:1:pos:R:3 pbc="T T T"
O 0.625 -2.932 7.747
O 2.542 -0.915 8.721
O 2.117 0.891 6.121
O 3.090 -1.877 5.856
O -0.405 -0.045 7.843
O -0.005 -1.080 5.112
Li 0.825 1.243 4.636
Li 1.286 -1.439 6.595
Ac 0.566 -1.554 2.730
Pa 1.870 -2.789 9.465
```

The following is a PBE calculation of a relaxed LiAc2PbO6 crystal, from the Alexandria database.

The mass density comes out at 8.4 g/cm3. The total energy comes out at -6.5312 eV/atom. The value obtained for the formation energy from raw total energies is -2.17 eV/atom. The value obtained for the density of states at the Fermi level is 17.510 states/eV per cell.

extended XYZ file:
```
20
Lattice="-1.687 1.701 -5.358 2.686 -5.033 -2.443 -7.004 -4.248 1.051" Properties=species:S:1:pos:R:3 pbc="T T T"
Li 1.343 -2.516 -1.221
Li -4.345 -1.274 -2.154
O -4.187 -2.723 -3.899
O -5.835 -6.746 -5.303
O 0.972 -3.228 -3.317
O -3.324 -7.307 -3.677
O -4.230 -5.324 -0.877
O -3.105 -5.005 -5.715
O -2.680 -0.273 -3.073
O -6.976 -4.352 -3.433
O -1.774 -2.256 -5.873
O -0.170 -0.834 -1.447
O -1.818 -4.857 -2.851
O -2.900 -2.575 -1.035
Ac 0.738 -5.734 -2.110
Ac -4.599 -5.149 -3.361
Ac -6.743 -1.846 -4.640
Ac -1.405 -2.431 -3.389
Pb -2.159 -4.640 -0.696
Pb -0.843 0.850 -2.679
```

The following is a PBE calculation of a relaxed Li3Ac2PbO6 crystal, from the Alexandria database.

The mass density comes out at 6.0 g/cm3. The total energy comes out at -6.0696 eV/atom. The value obtained for the formation energy from raw total energies is -2.12 eV/atom. The value obtained for the density of states at the Fermi level is 4.848 states/eV per cell.

extended XYZ file:
```
12
Lattice="6.598 -0.227 0.741 -3.494 5.602 0.741 -0.437 -0.756 5.702" Properties=species:S:1:pos:R:3 pbc="T T T"
Pb 0.000 0.000 0.000
O 4.202 -0.650 5.030
O 0.746 1.292 4.994
O 5.330 1.303 2.154
O -2.663 3.315 5.030
O -1.535 5.268 2.154
O 1.921 3.327 2.190
Ac -0.119 3.653 0.741
Ac 3.223 1.722 0.741
Li 1.334 2.309 3.592
Li 4.943 0.225 3.592
Li -2.276 4.394 3.592
```

The following is a PBE calculation of a relaxed LiAcPbO3 crystal, from the Alexandria database.

The mass density comes out at 8.0 g/cm3. The total energy comes out at -6.2047 eV/atom. The value obtained for the formation energy from raw total energies is -2.10 eV/atom. The value obtained for the density of states at the Fermi level is 0.000 states/eV per cell.

extended XYZ file:
```
12
Lattice="3.518 0.000 0.000 0.000 7.526 1.628 0.000 -2.111 7.260" Properties=species:S:1:pos:R:3 pbc="T T T"
Li 0.879 -0.462 4.425
Li 2.638 5.877 4.463
Ac 0.879 0.721 1.755
Ac 2.638 4.694 7.133
O 2.638 0.195 3.496
O 2.638 2.561 1.471
O 0.879 5.220 5.392
O 0.879 2.854 7.417
O 2.638 6.338 2.475
O 0.879 -0.923 6.413
Pb 2.638 0.966 6.526
Pb 0.879 4.449 2.362
```

> What is the formation energy from raw total energies in the second record?

-2.17 eV/atom